Record 1
TcPd2I8, relaxed, DFT GGA-PBE; total DFT energy (no corrections) = -0.110 hartree per atom; spin magnetization = 1.629 μB/f.u.
1.0
-4.0754 5.0485 0.8918
1.6798 -1.5769 7.9130
6.9837 3.6856 2.3598
I Pd Tc
8 2 1
Direct
0.2582 0.1831 0.1831 I
0.2301 0.7231 0.1310 I
0.2301 0.1310 0.7231 I
0.7699 0.8690 0.2769 I
0.7396 0.3921 0.3921 I
0.7418 0.8169 0.8169 I
0.7699 0.2769 0.8690 I
0.2604 0.6079 0.6079 I
0.3285 0.8026 0.8026 Pd
0.6715 0.1974 0.1974 Pd
0.0000 0.0000 0.0000 Tc


Record 2
MgAlPt, relaxed, DFT GGA-PBE; energy relative to the elements = -467 meV/atom; total DFT energy (no corrections) = -0.157 hartree per atom; spin magnetization = 0.000 μB/f.u.
1.0
-1.7690 1.4212 1.9631
1.4230 -2.5145 0.8096
5.1086 3.5467 2.0360
Pt Al Mg
1 1 1
Direct
0.3333 0.6667 0.6788 Pt
0.0000 0.0000 0.9730 Al
0.6667 0.3333 0.3482 Mg


Record 3
TbNd6Y2Sc, relaxed, DFT GGA-PBE; energy relative to the elements = 236 meV/atom; total DFT energy (no corrections) = -0.184 hartree per atom; spin magnetization = 0.000 μB/f.u.
1.0
-4.1263 -6.9452 -3.3832
4.5880 -4.2237 3.0750
-4.9646 2.9180 3.5544
Y Nd Sc Tb
2 6 1 1
Direct
0.1650 0.0959 0.1917 Y
0.8350 0.9041 0.8083 Y
0.2017 0.0865 0.6828 Nd
0.4018 0.6274 0.2547 Nd
0.2017 0.5963 0.6828 Nd
0.7983 0.9135 0.3172 Nd
0.7983 0.4037 0.3172 Nd
0.5982 0.3726 0.7453 Nd
0.0000 0.5000 0.0000 Sc
0.5000 0.0000 0.0000 Tb


Record 4
GaTcO2, relaxed, DFT GGA-PBE; total DFT energy (no corrections) = -0.255 hartree per atom; spin magnetization = 0.000 μB/f.u.
1.0
0.9738 -6.3851 0.6349
0.4019 -6.1156 -2.1351
3.0284 -5.6193 -1.1719
Ga O Tc
1 2 1
Direct
0.5000 0.5000 0.5000 Ga
0.1093 0.1093 0.1093 O
0.8907 0.8907 0.8907 O
0.0000 0.0000 0.0000 Tc